# 1
Below is a geometry-optimized BaNaReN3 structure, with properties calculated at the PBE-GGA level.

Results
- E: -7.051 eV per atom
- Magnetic moment: 0.0 μB/f.u.

a = 5.9227 Å, b = 5.9227 Å, c = 6.9204 Å
α = 78.06°, β = 78.06°, γ = 79.21°
Fractional coordinates of all 12 atoms:
Re: 0.0629 0.0629 0.6666
Re: 0.9371 0.9371 0.3334
Ba: 0.3034 0.3034 0.1123
Ba: 0.6966 0.6966 0.8877
Na: 0.3427 0.6573 0.5000
Na: 0.6573 0.3427 0.5000
N: 0.7355 0.7355 0.4391
N: 0.2208 0.8271 0.2013
N: 0.1729 0.7792 0.7987
N: 0.7792 0.1729 0.7987
N: 0.8271 0.2208 0.2013
N: 0.2645 0.2645 0.5609

---

# 2
Below is a geometry-optimized PmFe4W structure, with properties calculated at the PBE-GGA level.

Results
- E: -8.326 eV per atom
- Formation energy from the elements: 1.596 eV per formula unit
- Magnetic moment: 6.5 μB/f.u.

a = 4.9898 Å, b = 4.9898 Å, c = 4.9898 Å
α = 60.00°, β = 60.00°, γ = 60.00°
Each line ends with the local moment (μB).
Fractional coordinates of all 6 atoms:
Fe: 0.1209 0.6264 0.6264  1.92
Fe: 0.6264 0.1209 0.6264  1.92
Fe: 0.6264 0.6264 0.1209  1.92
Fe: 0.6264 0.6264 0.6264  1.92
Pm: 0.2500 0.2500 0.2500  -0.18
W: 0.0000 0.0000 0.0000  -0.72